[1]
## CdCoTeO (PBE+U)

Data for a relaxed CdCoTeO crystal.

a = 6.894 Å, b = 12.093 Å, c = 8.242 Å
α = 90.00°, β = 90.00°, γ = 90.00°
Each line ends with the local moment (μB).
Atoms (fractional coordinates):
1 Te 0.000 0.496 0.750  -0.06
2 Te 0.000 0.996 0.750  -0.06
3 Te 0.500 0.996 0.750  -0.06
4 Te 0.000 0.504 0.250  -0.06
5 Te 0.500 0.496 0.750  -0.06
6 Te 0.000 0.004 0.250  -0.06
7 Te 0.500 0.504 0.250  -0.06
8 Te 0.500 0.004 0.250  -0.06
9 Co 0.001 0.254 0.750  -2.39
10 Co 0.499 0.754 0.750  -2.39
11 Co 0.999 0.754 0.750  -2.39
12 Co 0.499 0.746 0.250  -2.39
13 Co 0.999 0.746 0.250  -2.39
14 Co 0.501 0.246 0.250  -2.39
15 Co 0.501 0.254 0.750  -2.39
16 Co 0.001 0.246 0.250  -2.39
17 O 0.249 0.752 0.665  -0.12
18 O 0.751 0.252 0.835  -0.12
19 O 0.749 0.752 0.835  -0.12
20 O 0.751 0.248 0.335  -0.12
21 O 0.749 0.748 0.335  -0.12
22 O 0.251 0.252 0.665  -0.12
23 O 0.249 0.748 0.165  -0.12
24 O 0.251 0.248 0.165  -0.12
25 Cd 0.249 0.892 0.995  0.00
26 Cd 0.749 0.892 0.505  0.00
27 Cd 0.251 0.108 0.495  0.00
28 Cd 0.749 0.608 0.005  0.00
29 Cd 0.251 0.392 0.995  0.00
30 Cd 0.751 0.392 0.505  0.00
31 Cd 0.751 0.108 0.005  0.00
32 Cd 0.249 0.608 0.495  0.00

Values from the calculation:
The space-group type is Pbca. The final energy comes out at -3.832 eV per atom.

***

[2]
## TmCd3Co4O12 (PBE+U)

Data for a relaxed TmCd3Co4O12 crystal.

a = 6.423 Å, b = 6.423 Å, c = 6.423 Å
α = 109.47°, β = 109.47°, γ = 109.47°
Each line ends with the local moment (μB).
Atoms (fractional coordinates):
1 O 0.279 0.804 0.083  -0.09
2 O 0.721 0.196 0.917  -0.09
3 O 0.721 0.804 0.525  -0.09
4 O 0.196 0.475 0.279  -0.10
5 O 0.196 0.917 0.721  -0.10
6 O 0.804 0.083 0.279  -0.10
7 O 0.475 0.279 0.196  -0.11
8 O 0.804 0.525 0.721  -0.10
9 O 0.917 0.721 0.196  -0.09
10 O 0.279 0.196 0.475  -0.09
11 O 0.083 0.279 0.804  -0.09
12 O 0.525 0.721 0.804  -0.11
13 Co 0.000 0.500 0.000  1.60
14 Co 0.500 0.500 0.500  1.59
15 Co 0.000 0.000 0.500  1.61
16 Co 0.500 0.000 0.000  1.59
17 Cd 0.000 0.500 0.500  -0.02
18 Cd 0.500 0.500 0.000  -0.02
19 Cd 0.500 0.000 0.500  -0.02
20 Tm 0.000 0.000 0.000  0.05

Values from the calculation:
The space-group type is Im-3. The final energy comes out at -5.459 eV per atom.